# 1
This record from the Alexandria database describes an optimized crystal structure of Er4Hg2Pb. The functional is GGA-PBE.

Uncorrected energy = -24.5 eV per cell
Energy relative to the lowest polymorph listed for this composition = 0.000 eV/atom
DOS(E_F) = 7.4 states/eV/cell
Formation energy from the elements = -0.28 eV per atom
Spin magnetization = 0.0 μB per formula unit

Lattice parameters (Å, degrees): 9.258 9.258 9.258 32.10 32.10 32.10
Fractional positions:
Er 0.118 0.118 0.118
Er 0.371 0.371 0.371
Er 0.629 0.629 0.629
Er 0.882 0.882 0.882
Hg 0.258 0.258 0.258
Hg 0.742 0.742 0.742
Pb 0.500 0.500 0.500

=====

# 2
This record from the Alexandria database describes an optimized crystal structure of Er4Hg2Pb. The functional is GGA-PBE.

Uncorrected energy = -23.9 eV per cell
Energy relative to the lowest polymorph listed for this composition = 0.088 eV/atom
DOS(E_F) = 5.6 states/eV/cell
Formation energy from the elements = -0.19 eV per atom
Spin magnetization = 0.0 μB per formula unit

Lattice parameters (Å, degrees): 10.468 10.468 10.468 27.20 27.20 27.20
Fractional positions:
Er 0.116 0.116 0.116
Er 0.299 0.299 0.299
Er 0.701 0.701 0.701
Er 0.884 0.884 0.884
Hg 0.397 0.397 0.397
Hg 0.603 0.603 0.603
Pb 0.500 0.500 0.500

=====

# 3
This record from the Alexandria database describes an optimized crystal structure of ErHg6Pb2. The functional is GGA-PBE.

Uncorrected energy = -14.6 eV per cell
DOS(E_F) = 3.6 states/eV/cell
Formation energy from the elements = -0.09 eV per atom
Spin magnetization = 0.0 μB per formula unit

Lattice parameters (Å, degrees): 9.022 9.022 5.553 98.49 98.49 143.28
Fractional positions:
Er 0.000 0.000 0.000
Hg 0.171 0.487 0.158
Hg 0.331 0.331 0.662
Hg 0.487 0.171 0.158
Hg 0.513 0.829 0.842
Hg 0.669 0.669 0.338
Hg 0.829 0.513 0.842
Pb 0.179 0.821 0.500
Pb 0.821 0.179 0.500

=====

# 4
This record from the Alexandria database describes an optimized crystal structure of ErHg3Pb. The functional is GGA-PBE.

Uncorrected energy = -19.5 eV per cell
Energy relative to the lowest polymorph listed for this composition = 0.042 eV/atom
DOS(E_F) = 4.8 states/eV/cell
Formation energy from the elements = -0.12 eV per atom
Spin magnetization = 0.0 μB per formula unit

Lattice parameters (Å, degrees): 6.235 6.015 7.650 90.00 103.65 90.00
Fractional positions:
Er 0.199 0.250 0.001
Er 0.801 0.750 0.999
Hg 0.081 0.005 0.328
Hg 0.081 0.495 0.328
Hg 0.373 0.750 0.115
Hg 0.627 0.250 0.885
Hg 0.919 0.505 0.672
Hg 0.919 0.995 0.672
Pb 0.393 0.750 0.664
Pb 0.607 0.250 0.336

=====

# 5
This record from the Alexandria database describes an optimized crystal structure of Er2Hg5Pb. The functional is GGA-PBE.

Uncorrected energy = -33.5 eV per cell
DOS(E_F) = 10.7 states/eV/cell
Formation energy from the elements = -0.30 eV per atom
Spin magnetization = 0.0 μB per formula unit

Lattice parameters (Å, degrees): 6.612 13.222 4.504 90.00 90.00 90.00
Fractional positions:
Er 0.236 0.123 0.000
Er 0.264 0.623 0.000
Er 0.736 0.377 0.000
Er 0.764 0.877 0.000
Hg 0.000 0.500 0.500
Hg 0.022 0.748 0.500
Hg 0.232 0.369 0.000
Hg 0.268 0.869 0.000
Hg 0.478 0.248 0.500
Hg 0.500 0.000 0.500
Hg 0.522 0.752 0.500
Hg 0.732 0.131 0.000
Hg 0.768 0.631 0.000
Hg 0.978 0.252 0.500
Pb 0.000 0.000 0.500
Pb 0.500 0.500 0.500

=====

# 6
This record from the Alexandria database describes an optimized crystal structure of ErHg4Pb. The functional is GGA-PBE.

Uncorrected energy = -9.7 eV per cell
Energy relative to the lowest polymorph listed for this composition = 0.146 eV/atom
DOS(E_F) = 1.6 states/eV/cell
Formation energy from the elements = -0.04 eV per atom
Spin magnetization = 0.0 μB per formula unit

Lattice parameters (Å, degrees): 6.028 6.028 6.028 60.00 60.00 60.00
Fractional positions:
Er 0.000 0.000 0.000
Hg 0.125 0.625 0.625
Hg 0.625 0.125 0.625
Hg 0.625 0.625 0.125
Hg 0.625 0.625 0.625
Pb 0.250 0.250 0.250

=====

# 7
This record from the Alexandria database describes an optimized crystal structure of Er2HgPb4. The functional is GGA-PBE.

Uncorrected energy = -26.1 eV per cell
DOS(E_F) = 3.4 states/eV/cell
Formation energy from the elements = -0.26 eV per atom
Spin magnetization = 0.0 μB per formula unit

Lattice parameters (Å, degrees): 6.461 6.461 5.117 90.00 90.00 106.57
Fractional positions:
Er 0.208 0.792 0.000
Er 0.792 0.208 0.000
Hg 0.000 0.000 0.500
Pb 0.000 0.500 0.500
Pb 0.301 0.301 0.000
Pb 0.500 0.000 0.500
Pb 0.699 0.699 0.000

=====

# 8
This record from the Alexandria database describes an optimized crystal structure of Er5Hg2Pb. The functional is GGA-PBE.

Uncorrected energy = -60.9 eV per cell
DOS(E_F) = 10.6 states/eV/cell
Formation energy from the elements = -0.42 eV per atom
Spin magnetization = 0.0 μB per formula unit

Lattice parameters (Å, degrees): 8.726 8.726 8.726 123.78 123.78 83.57
Fractional positions:
Er 0.000 0.000 0.000
Er 0.006 0.506 0.807
Er 0.199 0.006 0.500
Er 0.301 0.801 0.807
Er 0.494 0.301 0.500
Er 0.500 0.500 0.000
Er 0.506 0.699 0.500
Er 0.699 0.199 0.193
Er 0.801 0.994 0.500
Er 0.994 0.494 0.193
Hg 0.140 0.360 0.500
Hg 0.360 0.860 0.220
Hg 0.640 0.140 0.780
Hg 0.860 0.640 0.500
Pb 0.250 0.250 0.000
Pb 0.750 0.750 0.000